# 1
This record from the Alexandria database describes a geometry-optimized Pm4PRuCl2 structure. The functional is PBE-GGA.

Results
Total DFT energy (no corrections) ... -5.8861 eV/atom
Crystal system ... monoclinic
Energy relative to the elements, uncorrected ... -1.2134 eV/atom

```
data_Pm4PRuCl2
_cell_length_a 7.356
_cell_length_b 4.019
_cell_length_c 7.458
_cell_angle_alpha 90.00
_cell_angle_beta 106.09
_cell_angle_gamma 90.00
_symmetry_space_group_name_H-M 'P 1 2/m 1'
_symmetry_Int_Tables_number 10
_symmetry_space_group_name_Hall '-P 2y'
loop_
_atom_site_label
_atom_site_fract_x
_atom_site_fract_y
_atom_site_fract_z
Pm1 0.229 0.000 0.210
Pm2 0.254 0.500 0.797
P1 0.500 0.000 0.000
Ru1 0.000 0.500 0.000
Cl1 0.000 0.000 0.500
Cl2 0.500 0.500 0.500
```

# 2
This record from the Alexandria database describes a geometry-optimized CaLa6Nd2 structure. The functional is PBE-GGA.

Results
Total DFT energy (no corrections) ... -4.4757 eV/atom
Offset from the most stable computed form ... 56 meV per atom
Crystal system ... monoclinic
DFT formation energy ... 0.091 eV/atom

```
data_CaLa6Nd2
_cell_length_a 18.349
_cell_length_b 10.204
_cell_length_c 3.641
_cell_angle_alpha 90.00
_cell_angle_beta 99.65
_cell_angle_gamma 90.00
_symmetry_space_group_name_H-M 'C 1 m 1'
_symmetry_Int_Tables_number 8
_symmetry_space_group_name_Hall 'C -2y'
loop_
_atom_site_label
_atom_site_fract_x
_atom_site_fract_y
_atom_site_fract_z
Ca1 0.000 0.000 0.000
La1 0.000 0.337 0.493
La2 0.169 0.183 0.662
La3 0.331 0.317 0.347
Nd1 0.157 0.500 0.110
Nd2 0.344 0.000 0.872
```

# 3
This record from the Alexandria database describes a geometry-optimized LaP2OF structure. The functional is PBE-GGA.

Results
Total DFT energy (no corrections) ... -5.2641 eV/atom
Offset from the most stable computed form ... 0 meV per atom
Crystal system ... tetragonal
Energy relative to the elements, uncorrected ... -0.7488 eV/atom

```
data_LaP2OF
_cell_length_a 3.918
_cell_length_b 3.918
_cell_length_c 5.458
_cell_angle_alpha 90.00
_cell_angle_beta 90.00
_cell_angle_gamma 90.00
_symmetry_space_group_name_H-M 'P 4/m m m'
_symmetry_Int_Tables_number 123
_symmetry_space_group_name_Hall '-P 4 2'
loop_
_atom_site_label
_atom_site_fract_x
_atom_site_fract_y
_atom_site_fract_z
La1 0.000 0.000 0.000
P1 0.000 0.500 0.500
O1 0.500 0.500 0.000
F1 0.500 0.500 0.500
```

# 4
This record from the Alexandria database describes a geometry-optimized BaLaCd2Si structure. The functional is PBE-GGA.

Results
Total DFT energy (no corrections) ... -1.7464 eV/atom
Crystal system ... tetragonal
Energy relative to the elements, uncorrected ... 1.0743 eV/atom

```
data_BaLaCd2Si
_cell_length_a 5.855
_cell_length_b 5.855
_cell_length_c 6.685
_cell_angle_alpha 90.00
_cell_angle_beta 90.00
_cell_angle_gamma 90.00
_symmetry_space_group_name_H-M 'P 4/m m m'
_symmetry_Int_Tables_number 123
_symmetry_space_group_name_Hall '-P 4 2'
loop_
_atom_site_label
_atom_site_fract_x
_atom_site_fract_y
_atom_site_fract_z
Ba1 0.000 0.000 0.000
La1 0.000 0.000 0.500
Cd1 0.000 0.500 0.500
Si1 0.500 0.500 0.000
```

# 5
This record from the Alexandria database describes a geometry-optimized Tm6InSb3 structure. The functional is PBE-GGA.

Results
Total DFT energy (no corrections) ... -4.9301 eV/atom
Crystal system ... orthorhombic
Energy relative to the elements, uncorrected ... -0.7366 eV/atom

```
data_Tm6InSb3
_cell_length_a 11.542
_cell_length_b 11.280
_cell_length_c 8.362
_cell_angle_alpha 90.00
_cell_angle_beta 90.00
_cell_angle_gamma 90.00
_symmetry_space_group_name_H-M 'C m c m'
_symmetry_Int_Tables_number 63
_symmetry_space_group_name_Hall '-C 2c 2'
loop_
_atom_site_label
_atom_site_fract_x
_atom_site_fract_y
_atom_site_fract_z
Tm1 0.000 0.160 0.001
Tm2 0.160 0.500 0.000
Tm3 0.249 0.252 0.250
In1 0.000 0.357 0.250
Sb1 0.000 0.360 0.750
Sb2 0.145 0.002 0.250
```

# 6
This record from the Alexandria database describes a geometry-optimized Nd8Te3S3N structure. The functional is PBE-GGA.

Results
Total DFT energy (no corrections) ... -6.0767 eV/atom
Crystal system ... monoclinic
Energy relative to the elements, uncorrected ... -1.5250 eV/atom

```
data_Nd8Te3S3N
_cell_length_a 14.328
_cell_length_b 8.287
_cell_length_c 8.656
_cell_angle_alpha 90.00
_cell_angle_beta 123.44
_cell_angle_gamma 90.00
_symmetry_space_group_name_H-M 'C 1 2/m 1'
_symmetry_Int_Tables_number 12
_symmetry_space_group_name_Hall '-C 2y'
loop_
_atom_site_label
_atom_site_fract_x
_atom_site_fract_y
_atom_site_fract_z
Nd1 0.010 0.225 0.306
Nd2 0.215 0.000 0.694
Nd3 0.234 0.500 0.703
Te1 0.000 0.000 0.000
Te2 0.250 0.250 0.000
S1 0.000 0.500 0.500
S2 0.250 0.250 0.500
N1 0.000 0.000 0.500
```

# 7
This record from the Alexandria database describes a geometry-optimized PmMg2Pt structure. The functional is PBE-GGA.

Results
Total DFT energy (no corrections) ... -4.1905 eV/atom
Offset from the most stable computed form ... 12 meV per atom
Crystal system ... orthorhombic
DFT formation energy ... -0.695 eV/atom

```
data_PmMg2Pt
_cell_length_a 15.836
_cell_length_b 8.229
_cell_length_c 5.591
_cell_angle_alpha 90.00
_cell_angle_beta 90.00
_cell_angle_gamma 90.00
_symmetry_space_group_name_H-M 'P n m a'
_symmetry_Int_Tables_number 62
_symmetry_space_group_name_Hall '-P 2ac 2n'
loop_
_atom_site_label
_atom_site_fract_x
_atom_site_fract_y
_atom_site_fract_z
Pm1 0.106 0.250 0.243
Pm2 0.136 0.750 0.049
Mg1 0.040 0.056 0.738
Mg2 0.212 0.556 0.539
Pt1 0.068 0.750 0.540
Pt2 0.187 0.250 0.739
```

# 8
This record from the Alexandria database describes a geometry-optimized Tb4Pm3Nd3 structure. The functional is PBE-GGA.

Results
Total DFT energy (no corrections) ... -4.6125 eV/atom
Crystal system ... orthorhombic
DFT formation energy ... 0.095 eV/atom

```
data_Tb4Pm3Nd3
_cell_length_a 3.718
_cell_length_b 13.604
_cell_length_c 13.608
_cell_angle_alpha 90.00
_cell_angle_beta 90.00
_cell_angle_gamma 90.00
_symmetry_space_group_name_H-M 'A m m 2'
_symmetry_Int_Tables_number 38
_symmetry_space_group_name_Hall 'A 2 -2'
loop_
_atom_site_label
_atom_site_fract_x
_atom_site_fract_y
_atom_site_fract_z
Tb1 0.000 0.000 0.000
Tb2 0.000 0.000 0.249
Tb3 0.000 0.124 0.625
Pm1 0.000 0.249 0.874
Pm2 0.500 0.000 0.799
Nd1 0.500 0.000 0.451
Nd2 0.500 0.174 0.124
```

# 9
This record from the Alexandria database describes a geometry-optimized HfPb2Se2 structure. The functional is PBE-GGA.

Results
Total DFT energy (no corrections) ... -4.5248 eV/atom
Offset from the most stable computed form ... 221 meV per atom
Crystal system ... tetragonal
Energy relative to the elements, uncorrected ... 0.3430 eV/atom

```
data_HfPb2Se2
_cell_length_a 5.782
_cell_length_b 5.782
_cell_length_c 8.856
_cell_angle_alpha 90.00
_cell_angle_beta 90.00
_cell_angle_gamma 90.00
_symmetry_space_group_name_H-M 'I 4/m m m'
_symmetry_Int_Tables_number 139
_symmetry_space_group_name_Hall '-I 4 2'
loop_
_atom_site_label
_atom_site_fract_x
_atom_site_fract_y
_atom_site_fract_z
Hf1 0.000 0.000 0.000
Pb1 0.000 0.000 0.334
Se1 0.000 0.500 0.250
```

# 10
This record from the Alexandria database describes a geometry-optimized Li2LaInH structure. The functional is PBE-GGA.

Results
Total DFT energy (no corrections) ... -3.2341 eV/atom
Crystal system ... tetragonal

```
data_Li2LaInH
_cell_length_a 4.652
_cell_length_b 4.652
_cell_length_c 4.855
_cell_angle_alpha 90.00
_cell_angle_beta 90.00
_cell_angle_gamma 90.00
_symmetry_space_group_name_H-M 'P 4/m m m'
_symmetry_Int_Tables_number 123
_symmetry_space_group_name_Hall '-P 4 2'
loop_
_atom_site_label
_atom_site_fract_x
_atom_site_fract_y
_atom_site_fract_z
Li1 0.000 0.500 0.000
La1 0.000 0.000 0.500
In1 0.500 0.500 0.500
H1 0.000 0.000 0.000
```

# 11
This record from the Alexandria database describes a geometry-optimized MoWAu2 structure. The functional is PBE-GGA.

Results
Total DFT energy (no corrections) ... -7.2803 eV/atom
Offset from the most stable computed form ... 100 meV per atom
Crystal system ... monoclinic
DFT formation energy ... 0.304 eV/atom

```
data_MoWAu2
_cell_length_a 2.714
_cell_length_b 4.429
_cell_length_c 5.670
_cell_angle_alpha 90.00
_cell_angle_beta 97.39
_cell_angle_gamma 90.00
_symmetry_space_group_name_H-M 'P 1 m 1'
_symmetry_Int_Tables_number 6
_symmetry_space_group_name_Hall 'P -2y'
loop_
_atom_site_label
_atom_site_fract_x
_atom_site_fract_y
_atom_site_fract_z
Mo1 0.000 0.000 0.000
W1 0.754 0.500 0.246
Au1 0.304 0.000 0.485
Au2 0.457 0.500 0.759
```

# 12
This record from the Alexandria database describes a geometry-optimized Ac4PPt2 structure. The functional is PBE-GGA.

Results
Total DFT energy (no corrections) ... -5.5655 eV/atom
Crystal system ... tetragonal
DFT formation energy ... -0.719 eV/atom

```
data_Ac4PPt2
_cell_length_a 5.868
_cell_length_b 5.868
_cell_length_c 14.676
_cell_angle_alpha 90.00
_cell_angle_beta 90.00
_cell_angle_gamma 90.00
_symmetry_space_group_name_H-M 'I 4/m m m'
_symmetry_Int_Tables_number 139
_symmetry_space_group_name_Hall '-I 4 2'
loop_
_atom_site_label
_atom_site_fract_x
_atom_site_fract_y
_atom_site_fract_z
Ac1 0.000 0.000 0.207
Ac2 0.000 0.500 0.000
P1 0.000 0.000 0.000
Pt1 0.000 0.000 0.403
```